Entry 1:
VASP calculation (PBE-GGA) on a relaxed Na2PrPdO4 crystal.

Results
Uncorrected energy (eV/atom): -5.69
Space group: P2/m

Cell: 3.561 5.545 5.946 Å, 109.16 90.00 90.00°
Sites, in units of the cell vectors:
1 Na 0.500 0.000 0.500
2 Na 0.000 0.500 0.500
3 Pr 0.500 0.500 0.000
4 Pd 0.000 0.000 0.000
5 O 0.500 0.210 0.217
6 O 0.500 0.790 0.783
7 O 0.000 0.236 0.782
8 O 0.000 0.764 0.218

Entry 2:
VASP calculation (PBE-GGA) on a relaxed ZnAu3N crystal.

Results
Uncorrected energy (eV/atom): -2.39
Energy above the most stable polymorph in this dataset (meV per atom): 729.3
Space group: Pm-3m

Cell: 4.912 4.912 4.912 Å, 90.00 90.00 90.00°
Last column: magnetic moment on the atom in μB.
Sites, in units of the cell vectors:
1 Zn 0.000 0.000 0.000  -0.01
2 Au 0.000 0.500 0.000  0.02
3 Au 0.000 0.000 0.500  0.02
4 Au 0.500 0.000 0.000  0.04
5 N 0.500 0.500 0.500  1.77

Entry 3:
VASP calculation (PBE-GGA) on a relaxed Hf2VN crystal.

Results
Uncorrected energy (eV/atom): -9.45
Space group: I-42d

Cell: 6.357 6.357 5.785 Å, 56.67 56.67 90.00°
Last column: magnetic moment on the atom in μB.
Sites, in units of the cell vectors:
1 V 0.000 0.000 0.000  2.19
2 V 0.750 0.250 0.500  2.19
3 Hf 0.528 0.125 0.250  0.10
4 Hf 0.222 0.625 0.250  0.10
5 Hf 0.375 0.472 0.750  0.10
6 Hf 0.875 0.778 0.750  0.10
7 N 0.500 0.500 0.000  0.05
8 N 0.250 0.750 0.500  0.05

no.,calculated volume (A^3/atom),theoretical density (g cm⁻³)
1,13.86,5.35
2,23.70,9.39
3,18.39,9.52